1.
Ba2NiTe after structural relaxation, computed with PBE.

Cell lengths 5.626, 5.626, 5.626 Å; angles 60.00, 60.00, 60.00 degrees
Positions (direct):
Ba: 0.000 0.000 0.000
Ba: 0.250 0.250 0.250
Ni: 0.500 0.500 0.500
Te: 0.750 0.750 0.750

***

2.
Ba2NiTe after structural relaxation, computed with PBE.

Cell lengths 7.166, 7.166, 7.166 Å; angles 145.83, 139.76, 53.79 degrees
Positions (direct):
Ba: 0.006 0.006 0.000
Ba: 0.723 0.223 0.500
Ni: 0.452 0.452 0.000
Te: 0.318 0.818 0.500

***

3.
Ba2NiTe after structural relaxation, computed with PBE.

Cell lengths 6.715, 6.715, 5.018 Å; angles 90.47, 90.47, 39.60 degrees
Site moments in Bohr magnetons follow the coordinates.
Positions (direct):
Ni: 0.480 0.480 0.618  0.21
Te: 0.287 0.287 0.130  0.00
Ba: 0.004 0.004 0.124  -0.02
Ba: 0.729 0.729 0.628  -0.01

***

4.
Ba4NiTe after structural relaxation, computed with PBE.

Cell lengths 7.114, 7.114, 7.114 Å; angles 60.00, 60.00, 60.00 degrees
Site moments in Bohr magnetons follow the coordinates.
Positions (direct):
Ba: 0.876 0.375 0.375  0.01
Ba: 0.375 0.375 0.876  0.01
Ba: 0.375 0.876 0.375  0.01
Ba: 0.375 0.375 0.375  0.01
Ni: 0.750 0.750 0.750  0.39
Te: 0.000 0.000 0.000  0.00

***

5.
Ba2NiTe2 after structural relaxation, computed with PBE.

Cell lengths 9.242, 9.242, 4.531 Å; angles 90.00, 90.00, 90.00 degrees
Site moments in Bohr magnetons follow the coordinates.
Positions (direct):
Ni: 0.000 0.000 0.000  1.07
Ni: 0.500 0.500 0.000  1.07
Te: 0.158 0.658 0.500  0.02
Te: 0.658 0.842 0.500  0.03
Te: 0.842 0.342 0.500  0.02
Te: 0.342 0.158 0.500  0.03
Ba: 0.351 0.851 0.000  0.00
Ba: 0.851 0.649 0.000  0.00
Ba: 0.649 0.149 0.000  0.00
Ba: 0.149 0.351 0.000  0.00

## Properties
* ΔE to the lowest computed polymorph: 0 meV/atom

***

Uncorrected energy (computed, eV per cell): -13.3 -14.9 -15.3 -14.2 -37.3
Energy relative to the elements, uncorrected (computed, meV/atom): -125 -527 -633 402 -545
Calculated volume (computed, Å³/cell): 125.9 132.6 144.2 254.5 387.0